No. 1
A plane-wave DFT calculation with PBE-GGA was carried out for crystalline Sc3TlRh4 at its relaxed geometry.

V	136	Å³ per cell
calculated density	9.14	g cm⁻³
space-group type	Pmmm, No. 47

a = 3.341 Å, b = 4.498 Å, c = 9.072 Å
α = 90.00°, β = 90.00°, γ = 90.00°
Sites, in units of the cell vectors:
Sc: 0.500 0.000 0.247
Rh: 0.000 0.500 0.257
Sc: 0.500 0.500 0.500
Rh: 0.000 0.000 0.500
Tl: 0.500 0.500 0.000
Rh: 0.000 0.000 0.000
Rh: 0.000 0.500 0.743
Sc: 0.500 0.000 0.753

No. 2
A plane-wave DFT calculation with PBE-GGA was carried out for crystalline Sc2InB2Rh5 at its relaxed geometry.

V	283	Å³ per cell
calculated density	8.71	g cm⁻³
space-group type	P4/mbm, No. 127

a = 3.138 Å, b = 9.489 Å, c = 9.489 Å
α = 90.00°, β = 90.00°, γ = 90.00°
Sites, in units of the cell vectors:
B: 0.000 0.123 0.623
B: 0.000 0.623 0.877
Rh: 0.500 0.000 0.500
Rh: 0.500 0.572 0.724
B: 0.000 0.377 0.123
Sc: 0.000 0.175 0.325
Rh: 0.500 0.776 0.928
Sc: 0.000 0.825 0.675
Rh: 0.500 0.276 0.572
Sc: 0.000 0.675 0.175
Rh: 0.500 0.724 0.428
In: 0.000 0.500 0.500
Rh: 0.500 0.428 0.276
B: 0.000 0.877 0.377
Rh: 0.500 0.072 0.776
Rh: 0.500 0.928 0.224
Sc: 0.000 0.325 0.825
In: 0.000 0.000 0.000
Rh: 0.500 0.500 0.000
Rh: 0.500 0.224 0.072

No. 3
A plane-wave DFT calculation with PBE-GGA was carried out for crystalline YTaZn2 at its relaxed geometry.

E above lowest polymorph	0.474	eV/f.u.
V	76	Å³ per cell
calculated density	8.80	g cm⁻³
space-group type	Imm2, No. 44

a = 5.729 Å, b = 5.729 Å, c = 5.729 Å
α = 148.78°, β = 128.45°, γ = 61.51°
Sites, in units of the cell vectors:
Zn: 0.765 0.265 0.500
Y: 0.242 0.742 0.500
Zn: 0.977 0.977 0.000
Ta: 0.516 0.516 0.000

No. 4
A plane-wave DFT calculation with PBE-GGA was carried out for crystalline Be2CdNiRu at its relaxed geometry.

V	81	Å³ per cell
calculated density	5.94	g cm⁻³
space-group type	P4/mmm, No. 123

a = 4.228 Å, b = 4.540 Å, c = 4.228 Å
α = 90.00°, β = 90.00°, γ = 90.00°
Sites, in units of the cell vectors:
Be: 0.000 0.000 0.500
Ru: 0.500 0.500 0.500
Cd: 0.000 0.000 0.000
Ni: 0.000 0.500 0.000
Be: 0.500 0.000 0.000

No. 5
A plane-wave DFT calculation with PBE-GGA was carried out for crystalline Zr3Ga4Au2 at its relaxed geometry.

E above lowest polymorph	0.000	eV/f.u.
V	166	Å³ per cell
calculated density	9.49	g cm⁻³
space-group type	C2/m, No. 12

a = 4.437 Å, b = 5.491 Å, c = 7.856 Å
α = 74.90°, β = 73.60°, γ = 66.17°
Sites, in units of the cell vectors:
Zr: 0.000 0.000 0.000
Zr: 0.659 0.356 0.325
Ga: 0.065 0.269 0.601
Au: 0.375 0.962 0.288
Zr: 0.341 0.644 0.675
Ga: 0.277 0.392 0.054
Ga: 0.723 0.608 0.946
Ga: 0.935 0.731 0.399
Au: 0.625 0.038 0.712

No. 6
A plane-wave DFT calculation with PBE-GGA was carried out for crystalline La3Sm2Ho at its relaxed geometry.

E above lowest polymorph	0.000	eV/f.u.
V	419	Å³ per cell
calculated density	6.99	g cm⁻³
space-group type	P2_1/m, No. 11

a = 3.672 Å, b = 10.371 Å, c = 11.002 Å
α = 89.60°, β = 90.00°, γ = 90.00°
Sites, in units of the cell vectors:
Sm: 0.750 0.120 0.917
Sm: 0.750 0.628 0.584
La: 0.250 0.375 0.749
La: 0.750 0.123 0.584
La: 0.750 0.629 0.914
La: 0.250 0.371 0.086
Ho: 0.750 0.123 0.250
Sm: 0.250 0.880 0.083
Sm: 0.250 0.372 0.416
La: 0.250 0.877 0.416
La: 0.750 0.625 0.251
Ho: 0.250 0.877 0.750

The records above yield raw total energy values of -57.053, -147.345, -20.519, -15.830, -49.285, -57.365 eV for the cell shown, respectively.
The records above yield formation energy values of -6.3, -8.2, 0.3, 7.6, -5.0, 0.1 eV/f.u., respectively.